Entry 1:
CoRuAu2: optimized geometry, PBE.

Summary:
Magnetization = 2.788 Bohr magnetons per cell
DOS at the Fermi energy = 5.19 states/eV/f.u.
Formation energy from the elements = 0.4610 eV per atom

a = 4.7247 Å, b = 4.7247 Å, c = 2.7970 Å
α = 90.00°, β = 90.00°, γ = 90.00°
With the nearest neighbours (Å) after each atom.
Space group P4/mmm (No. 123)
Symmetry-distinct sites (fractional):
Co 0.0000 0.0000 0.0000 (multiplicity 1)  8 Au 2.75, 2 Co 2.80
Ru 0.5000 0.5000 0.0000 (multiplicity 1)  8 Au 2.75, 2 Ru 2.80
Au 0.0000 0.5000 0.5000 (multiplicity 2)  4 Co 2.75, 4 Ru 2.75, 2 Au 2.80



Entry 2:
Sm2Hg3Pd: optimized geometry, PBE.

Summary:
Magnetization = 0.000 Bohr magnetons per cell
DOS at the Fermi energy = 3.07 states/eV/f.u.
Formation energy from the elements = -0.5258 eV per atom

a = 3.5180 Å, b = 4.8429 Å, c = 8.5536 Å
α = 90.00°, β = 90.00°, γ = 90.00°
With the nearest neighbours (Å) after each atom.
Space group Pmm2 (No. 25)
Symmetry-distinct sites (fractional):
Sm 0.0000 0.0000 0.0000 (multiplicity 1)  2 Pd 3.11, 8 Hg 3.22-3.44
Sm 0.0000 0.5000 0.4486 (multiplicity 1)  8 Hg 3.18-3.50, 4 Pd 3.25, 2 Sm 3.52
Hg 0.5000 0.0000 0.6255 (multiplicity 1)  1 Pd 2.78, 2 Hg 2.85
Hg 0.5000 0.5000 0.1386 (multiplicity 1)  2 Pd 2.79, 1 Hg 2.88
Hg 0.5000 0.5000 0.8019 (multiplicity 1)  3 Hg 2.85-2.88
Pd 0.5000 0.0000 0.3002 (multiplicity 1)  3 Hg 2.78-2.79, 2 Sm 3.11



Entry 3:
YTm5Sn4: optimized geometry, PBE.

Summary:
Magnetization = 0.002 Bohr magnetons per cell
DOS at the Fermi energy = 10.25 states/eV/f.u.
Formation energy from the elements = -0.3796 eV per atom

a = 17.4898 Å, b = 4.5025 Å, c = 7.6911 Å
α = 90.00°, β = 100.98°, γ = 90.00°
With the nearest neighbours (Å) after each atom.
Space group C2/m (No. 12)
Symmetry-distinct sites (fractional):
Y 0.0000 0.0000 0.0000 (multiplicity 2)  6 Sn 3.09-3.27
Tm 0.0000 0.0000 0.5000 (multiplicity 2)  4 Sn 2.98
Tm 0.1385 0.5000 0.7291 (multiplicity 4)  4 Sn 3.09-3.27
Tm 0.2105 0.5000 0.3167 (multiplicity 4)  3 Sn 2.96-3.18
Sn 0.0388 0.5000 0.2788 (multiplicity 4)  4 Tm 2.96-3.09, 2 Y 3.09
Sn 0.1884 0.0000 0.0193 (multiplicity 4)  2 Sn 3.17, 6 Tm 3.17-3.40, 1 Y 3.27



Entry 4:
La3CoAu: optimized geometry, PBE.

Summary:
Magnetization = 0.000 Bohr magnetons per cell
DOS at the Fermi energy = 4.54 states/eV/f.u.
Energy above the lowest structure with this stoichiometry = 0.034 eV/atom
Formation energy from the elements = -0.3733 eV per atom

a = 5.7906 Å, b = 6.7813 Å, c = 8.3351 Å
α = 68.07°, β = 85.03°, γ = 65.96°
With the nearest neighbours (Å) after each atom.
Space group P-1 (No. 2)
Symmetry-distinct sites (fractional):
La 0.0462 0.2915 0.3677 (multiplicity 2)  3 Co 2.92-3.12, 2 Au 3.20-3.24
La 0.3596 0.8680 0.8246 (multiplicity 2)  1 Co 2.57
La 0.3906 0.7076 0.2774 (multiplicity 2)  1 Co 2.55
Co 0.4335 0.8158 0.5317 (multiplicity 2)  2 La 2.55-2.57, 1 Co 2.76
Au 0.1057 0.2622 0.9856 (multiplicity 2)  1 Au 3.04, 6 La 3.20-3.40



Entry 5:
CaP: optimized geometry, PBE.

Summary:
Magnetization = 0.000 Bohr magnetons per cell
DOS at the Fermi energy = 0.53 states/eV/f.u.
Formation energy from the elements = -0.7852 eV per atom

a = 3.1610 Å, b = 3.5496 Å, c = 3.8286 Å
α = 90.00°, β = 90.00°, γ = 90.00°
With the nearest neighbours (Å) after each atom.
Space group Pmmm (No. 47)
Symmetry-distinct sites (fractional):
Ca 0.0000 0.0000 0.0000 (multiplicity 1)  8 P 3.05, 2 Ca 3.16
P 0.5000 0.5000 0.5000 (multiplicity 1)  8 Ca 3.05, 2 P 3.16



Entry 6:
CsK3Tc2O8: optimized geometry, PBE.

Summary:
Magnetization = 2.007 Bohr magnetons per cell
DOS at the Fermi energy = 11.98 states/eV/f.u.
E_tot = -6.23 eV/atom

a = 6.2783 Å, b = 6.2783 Å, c = 9.2235 Å
α = 90.00°, β = 90.00°, γ = 120.00°
With the nearest neighbours (Å) after each atom.
Space group P-3m1 (No. 164)
Symmetry-distinct sites (fractional):
Cs 0.0000 0.0000 0.0000 (multiplicity 1)  6 O 2.96
K 0.0000 0.0000 0.5000 (multiplicity 1)  6 O 3.07
K 0.3333 0.6667 0.2263 (multiplicity 2)  1 O 2.49
Tc 0.3333 0.6667 0.6889 (multiplicity 2)  4 O 1.78-1.80
O 0.1786 0.3572 0.7573 (multiplicity 6)  1 Tc 1.80
O 0.3333 0.6667 0.4963 (multiplicity 2)  1 Tc 1.78



Please write out number 2 again, unchanged.
Sm2Hg3Pd: optimized geometry, PBE.

Summary:
Magnetization = 0.000 Bohr magnetons per cell
DOS at the Fermi energy = 3.07 states/eV/f.u.
Formation energy from the elements = -0.5258 eV per atom

a = 3.5180 Å, b = 4.8429 Å, c = 8.5536 Å
α = 90.00°, β = 90.00°, γ = 90.00°
With the nearest neighbours (Å) after each atom.
Space group Pmm2 (No. 25)
Symmetry-distinct sites (fractional):
Sm 0.0000 0.0000 0.0000 (multiplicity 1)  2 Pd 3.11, 8 Hg 3.22-3.44
Sm 0.0000 0.5000 0.4486 (multiplicity 1)  8 Hg 3.18-3.50, 4 Pd 3.25, 2 Sm 3.52
Hg 0.5000 0.0000 0.6255 (multiplicity 1)  1 Pd 2.78, 2 Hg 2.85
Hg 0.5000 0.5000 0.1386 (multiplicity 1)  2 Pd 2.79, 1 Hg 2.88
Hg 0.5000 0.5000 0.8019 (multiplicity 1)  3 Hg 2.85-2.88
Pd 0.5000 0.0000 0.3002 (multiplicity 1)  3 Hg 2.78-2.79, 2 Sm 3.11



Question: The lowest DOS at the Fermi energy belongs to which entry?
Answer: CaP



Question: The highest DOS at the Fermi energy belongs to which entry?
Answer: CsK3Tc2O8